1.
Material: CsHoSnS3
Method: DFT, GGA-PBE
State: optimized geometry

Lattice parameters (Å, degrees): 8.925 8.925 11.429 90.00 90.00 154.27
Element x y z (fractional)
Ho: 0.500 0.500 0.500
Ho: 0.500 0.500 0.000
S: 0.506 0.494 0.250
S: 0.895 0.105 0.992
S: 0.105 0.895 0.492
S: 0.105 0.895 0.008
S: 0.895 0.105 0.508
S: 0.494 0.506 0.750
Cs: 0.191 0.809 0.750
Cs: 0.809 0.191 0.250
Sn: 0.892 0.108 0.750
Sn: 0.108 0.892 0.250

Energy (eV/atom): -4.9251
SG: Cmcm, No. 63
Total magnetization (Bohr magnetons per cell): 0.02
ρ (g/cm3): 4.31

=====

2.
Material: NbFeAgBi
Method: DFT, GGA-PBE
State: optimized geometry

Lattice parameters (Å, degrees): 4.657 4.657 4.657 60.00 60.00 60.00
Element x y z (fractional)
Ag: 0.500 0.500 0.500
Nb: 0.250 0.250 0.250
Fe: 0.750 0.750 0.750
Bi: 0.000 0.000 0.000

Excess energy over the best structure of this formula in the dataset (meV/atom): 0
SG: F-43m, No. 216
Total magnetization (Bohr magnetons per cell): 1.70
ρ (g/cm3): 10.83

=====

3.
Material: NaYCoSe3
Method: DFT, GGA-PBE
State: optimized geometry

Lattice parameters (Å, degrees): 3.989 7.028 10.772 90.00 90.00 73.51
Element x y z (fractional)
Se: 0.637 0.726 0.076
Se: 0.363 0.274 0.576
Se: 0.079 0.842 0.750
Se: 0.637 0.726 0.424
Se: 0.921 0.158 0.250
Se: 0.363 0.274 0.924
Co: 0.527 0.945 0.250
Co: 0.473 0.055 0.750
Na: 0.756 0.489 0.750
Na: 0.244 0.511 0.250
Y: 0.000 0.000 0.000
Y: 0.000 0.000 0.500

Excess energy over the best structure of this formula in the dataset (meV/atom): 24
SG: Cmcm, No. 63
Total magnetization (Bohr magnetons per cell): 5.77
ρ (g/cm3): 4.68

=====

4.
Material: CdSbMo2
Method: DFT, GGA-PBE
State: optimized geometry

Lattice parameters (Å, degrees): 4.701 4.701 4.701 60.00 60.00 60.00
Element x y z (fractional)
Sb: 0.500 0.500 0.500
Mo: 0.000 0.000 0.000
Mo: 0.750 0.750 0.750
Cd: 0.250 0.250 0.250

Energy (eV/atom): -6.0688
SG: F-43m, No. 216
Total magnetization (Bohr magnetons per cell): 0.18
ρ (g/cm3): 9.63

=====

5.
Material: KRbPaS3
Method: DFT, GGA-PBE
State: optimized geometry

Lattice parameters (Å, degrees): 9.373 9.373 11.559 90.00 90.00 154.25
Element x y z (fractional)
Rb: 0.854 0.146 0.750
Rb: 0.146 0.854 0.250
S: 0.904 0.096 0.002
S: 0.904 0.096 0.498
S: 0.096 0.904 0.998
S: 0.505 0.495 0.250
S: 0.096 0.904 0.502
S: 0.495 0.505 0.750
Pa: 0.500 0.500 0.000
Pa: 0.500 0.500 0.500
K: 0.122 0.878 0.750
K: 0.878 0.122 0.250

Energy (eV/atom): -5.2911
SG: Cmcm, No. 63
Total magnetization (Bohr magnetons per cell): 1.94
ρ (g/cm3): 3.40

=====

6.
Material: LuInNiPt
Method: DFT, GGA-PBE
State: optimized geometry

Lattice parameters (Å, degrees): 4.684 4.684 4.684 60.00 60.00 60.00
Element x y z (fractional)
Pt: 0.500 0.500 0.500
Ni: 0.750 0.750 0.750
Lu: 0.250 0.250 0.250
In: 0.000 0.000 0.000

Excess energy over the best structure of this formula in the dataset (meV/atom): 296
SG: F-43m, No. 216
Total magnetization (Bohr magnetons per cell): 0.00
ρ (g/cm3): 12.42

=====

7.
Material: Ac2Tm2O5
Method: DFT, GGA-PBE
State: optimized geometry

Lattice parameters (Å, degrees): 8.157 4.449 4.449 90.00 90.00 90.00
Element x y z (fractional)
O: 0.500 0.500 0.500
O: 0.311 0.500 0.000
O: 0.689 0.500 0.000
O: 0.689 0.000 0.500
O: 0.311 0.000 0.500
Ac: 0.772 0.500 0.500
Ac: 0.228 0.500 0.500
Tm: 0.500 0.000 0.000
Tm: 0.000 0.000 0.000

Excess energy over the best structure of this formula in the dataset (meV/atom): 1011
SG: P4/mmm, No. 123
Total magnetization (Bohr magnetons per cell): 0.01
ρ (g/cm3): 8.97

=====

8.
Material: CuAg3
Method: DFT, GGA-PBE
State: optimized geometry

Lattice parameters (Å, degrees): 6.983 6.369 4.953 75.00 61.75 43.25
Element x y z (fractional)
Ag: 0.371 0.371 0.629
Ag: 0.500 0.500 0.000
Ag: 0.000 0.000 0.500
Ag: 0.750 0.750 0.750
Ag: 0.629 0.629 0.371
Ag: 0.250 0.250 0.250
Cu: 0.881 0.881 0.119
Cu: 0.119 0.119 0.881

SG: Fmmm, No. 69
ΔH_f (0 K) (meV/atom): 73
ρ (g/cm3): 9.77

=====

9.
Material: MgScNiB
Method: DFT, GGA-PBE
State: optimized geometry

Lattice parameters (Å, degrees): 4.167 4.167 4.167 60.00 60.00 60.00
Element x y z (fractional)
B: 0.250 0.250 0.250
Mg: 0.500 0.500 0.500
Sc: 0.750 0.750 0.750
Ni: 0.000 0.000 0.000

Excess energy over the best structure of this formula in the dataset (meV/atom): 175
SG: F-43m, No. 216
Total magnetization (Bohr magnetons per cell): 0.00
ρ (g/cm3): 4.50

=====

10.
Material: LiLuHgTe3
Method: DFT, GGA-PBE
State: optimized geometry

Lattice parameters (Å, degrees): 12.727 4.267 13.659 90.00 90.00 90.00
Element x y z (fractional)
Li: 0.988 0.500 0.881
Li: 0.488 0.000 0.619
Li: 0.512 0.500 0.381
Li: 0.012 0.000 0.119
Te: 0.921 0.500 0.429
Te: 0.646 0.500 0.563
Te: 0.421 0.000 0.071
Te: 0.133 0.500 0.229
Te: 0.354 0.000 0.437
Te: 0.854 0.500 0.063
Te: 0.079 0.000 0.571
Te: 0.633 0.000 0.271
Te: 0.579 0.500 0.929
Te: 0.146 0.000 0.937
Te: 0.367 0.500 0.729
Te: 0.867 0.000 0.771
Lu: 0.177 0.500 0.442
Lu: 0.677 0.000 0.058
Lu: 0.323 0.500 0.942
Lu: 0.823 0.000 0.558
Hg: 0.789 0.500 0.268
Hg: 0.211 0.000 0.732
Hg: 0.289 0.000 0.232
Hg: 0.711 0.500 0.768

Excess energy over the best structure of this formula in the dataset (meV/atom): 6
SG: Pnma, No. 62
Total magnetization (Bohr magnetons per cell): 0.01
ρ (g/cm3): 6.85

=====

11.
Material: NbTeSe4
Method: DFT, GGA-PBE
State: optimized geometry

Lattice parameters (Å, degrees): 6.825 7.478 7.884 118.23 90.54 107.68
Element x y z (fractional)
Se: 0.744 0.491 0.846
Se: 0.744 0.991 0.846
Se: 0.263 0.994 0.620
Se: 0.263 0.494 0.620
Se: 0.256 0.509 0.154
Se: 0.737 0.006 0.380
Se: 0.256 0.009 0.154
Se: 0.737 0.506 0.380
Nb: 0.500 0.250 0.500
Nb: 0.500 0.750 0.500
Te: 0.500 0.250 0.000
Te: 0.500 0.750 0.000

Energy (eV/atom): -4.8728
SG: P-1, No. 2
Total magnetization (Bohr magnetons per cell): 1.93
ρ (g/cm3): 5.36

=====

12.
Material: Pm2Pt
Method: DFT, GGA-PBE
State: optimized geometry

Lattice parameters (Å, degrees): 5.980 5.980 5.980 60.00 60.00 60.00
Element x y z (fractional)
Pt: 0.250 0.250 0.250
Pt: 0.000 0.000 0.000
Pm: 0.625 0.125 0.625
Pm: 0.625 0.625 0.125
Pm: 0.125 0.625 0.625
Pm: 0.625 0.625 0.625

Excess energy over the best structure of this formula in the dataset (meV/atom): 1076
SG: Fd-3m, No. 227
Total magnetization (Bohr magnetons per cell): 0.00
ΔH_f (0 K) (meV/atom): 343
ρ (g/cm3): 10.65

=====

13.
Material: FeH12C2N2Cl4
Method: DFT, GGA-PBE
State: optimized geometry

Lattice parameters (Å, degrees): 7.089 19.055 10.028 90.00 134.99 90.00
Element x y z (fractional)
N: 0.028 0.886 0.014
N: 0.972 0.886 0.486
N: 0.500 0.614 0.986
N: 0.500 0.386 0.486
N: 0.972 0.114 0.986
N: 0.500 0.386 0.014
N: 0.500 0.614 0.514
N: 0.028 0.114 0.514
H: 0.333 0.603 0.845
H: 0.679 0.300 0.672
H: 0.500 0.279 0.433
H: 0.858 0.103 0.845
H: 0.165 0.200 0.993
H: 0.836 0.200 0.328
H: 0.679 0.700 0.507
H: 0.666 0.397 0.511
H: 0.835 0.800 0.007
H: 0.500 0.721 0.933
H: 0.135 0.779 0.067
H: 0.321 0.300 0.828
H: 0.321 0.300 0.493
H: 0.164 0.800 0.672
H: 0.667 0.603 0.655
H: 0.856 0.103 0.011
H: 0.865 0.779 0.433
H: 0.667 0.397 0.155
H: 0.334 0.603 0.489
H: 0.140 0.082 0.070
H: 0.501 0.582 0.070
H: 0.135 0.221 0.567
H: 0.858 0.897 0.345
H: 0.499 0.418 0.930
H: 0.679 0.700 0.172
H: 0.856 0.897 0.511
H: 0.164 0.200 0.172
H: 0.501 0.418 0.570
H: 0.140 0.918 0.570
H: 0.333 0.397 0.345
H: 0.500 0.279 0.067
H: 0.321 0.700 0.993
H: 0.500 0.721 0.567
H: 0.865 0.221 0.933
H: 0.144 0.103 0.489
H: 0.679 0.300 0.007
H: 0.142 0.897 0.155
H: 0.144 0.897 0.989
H: 0.142 0.103 0.655
H: 0.666 0.603 0.011
H: 0.165 0.800 0.493
H: 0.835 0.200 0.507
H: 0.860 0.082 0.430
H: 0.334 0.397 0.989
H: 0.499 0.582 0.430
H: 0.836 0.800 0.828
H: 0.321 0.700 0.328
H: 0.860 0.918 0.930
Cl: 0.941 0.374 0.471
Cl: 0.500 0.126 0.971
Cl: 0.500 0.874 0.471
Cl: 0.500 0.981 0.750
Cl: 0.500 0.481 0.750
Cl: 0.000 0.000 0.250
Cl: 0.000 0.500 0.750
Cl: 0.059 0.626 0.529
Cl: 0.059 0.374 0.029
Cl: 0.500 0.126 0.529
Cl: 0.000 0.000 0.750
Cl: 0.000 0.500 0.250
Cl: 0.941 0.626 0.971
Cl: 0.500 0.019 0.250
Cl: 0.500 0.519 0.250
Cl: 0.500 0.874 0.029
C: 0.047 0.189 0.024
C: 0.500 0.311 0.976
C: 0.500 0.689 0.476
C: 0.500 0.311 0.524
C: 0.953 0.811 0.976
C: 0.047 0.811 0.524
C: 0.953 0.189 0.476
C: 0.500 0.689 0.024
Fe: 0.000 0.500 0.500
Fe: 0.500 0.000 0.500
Fe: 0.000 0.500 0.000
Fe: 0.500 0.000 0.000

Energy (eV/atom): -4.8124
SG: Pccn, No. 56
Total magnetization (Bohr magnetons per cell): 16.06
ρ (g/cm3): 1.81

=====

14.
Material: Zr2AlN
Method: DFT, GGA-PBE
State: optimized geometry

Lattice parameters (Å, degrees): 3.257 3.257 14.350 90.00 90.00 120.00
Element x y z (fractional)
Al: 0.333 0.667 0.750
Al: 0.667 0.333 0.250
Zr: 0.333 0.667 0.411
Zr: 0.333 0.667 0.089
Zr: 0.667 0.333 0.911
Zr: 0.667 0.333 0.589
N: 0.000 0.000 0.500
N: 0.000 0.000 0.000

Energy (eV/atom): -8.3712
SG: P6_3/mmc, No. 194
Total magnetization (Bohr magnetons per cell): 0.00
ρ (g/cm3): 5.63

=====

15.
Material: Ta4NiP
Method: DFT, GGA-PBE
State: optimized geometry

Lattice parameters (Å, degrees): 6.150 6.150 4.950 90.00 90.00 90.00
Element x y z (fractional)
P: 0.500 0.500 0.250
P: 0.500 0.500 0.750
Ta: 0.662 0.162 0.000
Ta: 0.338 0.162 0.500
Ta: 0.338 0.838 0.000
Ta: 0.662 0.838 0.500
Ta: 0.838 0.662 0.000
Ta: 0.838 0.338 0.500
Ta: 0.162 0.662 0.500
Ta: 0.162 0.338 0.000
Ni: 0.000 0.000 0.750
Ni: 0.000 0.000 0.250

Energy (eV/atom): -10.1885
SG: P4/mcc, No. 124
Total magnetization (Bohr magnetons per cell): 0.01
ρ (g/cm3): 14.43

=====

16.
Material: Lu3Zn11
Method: DFT, GGA-PBE
State: optimized geometry

Lattice parameters (Å, degrees): 8.011 8.011 8.011 149.17 111.07 77.39
Element x y z (fractional)
Zn: 0.414 0.136 0.279
Zn: 0.857 0.136 0.721
Zn: 0.306 0.500 0.806
Zn: 0.700 0.337 0.363
Zn: 0.143 0.864 0.279
Zn: 0.694 0.500 0.194
Zn: 0.300 0.663 0.637
Zn: 0.026 0.663 0.363
Zn: 0.586 0.864 0.721
Zn: 0.974 0.337 0.637
Zn: 0.500 0.000 0.500
Lu: 0.297 0.297 0.000
Lu: 0.000 0.000 0.000
Lu: 0.703 0.703 0.000

SG: Immm, No. 71
Total magnetization (Bohr magnetons per cell): 0.01
ΔH_f (0 K) (meV/atom): -303
ρ (g/cm3): 8.56

=====

17.
Material: TbNdAsO
Method: DFT, GGA-PBE
State: optimized geometry

Lattice parameters (Å, degrees): 4.315 4.315 9.222 90.00 90.00 90.00
Element x y z (fractional)
Tb: 0.250 0.250 0.098
Tb: 0.750 0.750 0.902
Nd: 0.750 0.250 0.500
Nd: 0.250 0.750 0.500
O: 0.250 0.750 0.000
O: 0.750 0.250 0.000
As: 0.250 0.250 0.718
As: 0.750 0.750 0.282

Excess energy over the best structure of this formula in the dataset (meV/atom): 147
SG: P4/nmm, No. 129
Total magnetization (Bohr magnetons per cell): 0.00
ρ (g/cm3): 7.62

=====

18.
Material: HoTmFe2B2N2
Method: DFT, GGA-PBE
State: optimized geometry

Lattice parameters (Å, degrees): 3.415 3.415 7.672 90.00 90.00 90.00
Element x y z (fractional)
Tm: 0.500 0.500 0.164
Fe: 0.000 0.500 0.500
Fe: 0.500 0.000 0.500
B: 0.500 0.500 0.666
B: 0.000 0.000 0.334
Ho: 0.000 0.000 0.836
N: 0.500 0.500 0.861
N: 0.000 0.000 0.140

Energy (eV/atom): -8.0186
SG: P4mm, No. 99
Total magnetization (Bohr magnetons per cell): 2.33
ρ (g/cm3): 9.19

=====

19.
Material: LiInCoHg
Method: DFT, GGA-PBE
State: optimized geometry

Lattice parameters (Å, degrees): 4.511 4.511 4.511 60.00 60.00 60.00
Element x y z (fractional)
Co: 0.750 0.750 0.750
Li: 0.250 0.250 0.250
Hg: 0.500 0.500 0.500
In: 0.000 0.000 0.000

Excess energy over the best structure of this formula in the dataset (meV/atom): 0
SG: F-43m, No. 216
Total magnetization (Bohr magnetons per cell): 0.49
ρ (g/cm3): 9.75